# ZrAu2I, relaxed, DFT PBE
# Formation energy without anion corrections = -19 kJ/mol of formula units
# Magnetic moment = 0.0 μB per formula unit
# Space group = I-42d
data_ZrAu2I
_chemical_formula_sum 'Zr2 Au4 I2'
_space_group_name_H-M_alt 'P 1'
_space_group_IT_number 1
_cell_length_a 8.1719
_cell_length_b 8.1719
_cell_length_c 6.4537
_cell_angle_alpha 50.72
_cell_angle_beta 50.72
_cell_angle_gamma 90.00
loop_
_space_group_symop_operation_xyz
'x,y,z'
loop_
_atom_site_label
_atom_site_type_symbol
_atom_site_fract_x
_atom_site_fract_y
_atom_site_fract_z
I1 I 0.7500 0.2500 0.5000
I2 I 0.0000 0.0000 0.0000
Au1 Au 0.8750 0.8506 0.7500
Au2 Au 0.6006 0.1250 0.2500
Au3 Au 0.1494 0.6250 0.2500
Au4 Au 0.3750 0.3994 0.7500
Zr1 Zr 0.5000 0.5000 0.0000
Zr2 Zr 0.2500 0.7500 0.5000

***

# Ce2SnPt9, relaxed, DFT PBE
# Magnetic moment = 0.4 μB per formula unit
# Space group = P4/mmm
# Energy relative to the elements = -777 meV per atom
data_Ce2SnPt9
_chemical_formula_sum 'Ce2 Sn1 Pt9'
_space_group_name_H-M_alt 'P 1'
_space_group_IT_number 1
_cell_length_a 4.1422
_cell_length_b 4.1422
_cell_length_c 12.3742
_cell_angle_alpha 90.00
_cell_angle_beta 90.00
_cell_angle_gamma 90.00
loop_
_space_group_symop_operation_xyz
'x,y,z'
loop_
_atom_site_label
_atom_site_type_symbol
_atom_site_fract_x
_atom_site_fract_y
_atom_site_fract_z
Pt1 Pt 0.5000 0.0000 0.8370
Pt2 Pt 0.0000 0.5000 0.5000
Pt3 Pt 0.5000 0.5000 0.0000
Pt4 Pt 0.5000 0.0000 0.1630
Pt5 Pt 0.5000 0.5000 0.6711
Pt6 Pt 0.0000 0.5000 0.1630
Pt7 Pt 0.5000 0.5000 0.3289
Pt8 Pt 0.0000 0.5000 0.8370
Pt9 Pt 0.5000 0.0000 0.5000
Sn1 Sn 0.0000 0.0000 0.0000
Ce1 Ce 0.0000 0.0000 0.3311
Ce2 Ce 0.0000 0.0000 0.6689

***

# Sm2Dy2Al, relaxed, DFT PBE
# Magnetic moment = 0.0 μB per formula unit
# Space group = P6_3/mmc
# Energy relative to the elements = 5 meV per atom
data_Sm2Dy2Al
_chemical_formula_sum 'Sm4 Dy4 Al2'
_space_group_name_H-M_alt 'P 1'
_space_group_IT_number 1
_cell_length_a 5.3704
_cell_length_b 5.3704
_cell_length_c 11.9745
_cell_angle_alpha 90.00
_cell_angle_beta 90.00
_cell_angle_gamma 120.00
loop_
_space_group_symop_operation_xyz
'x,y,z'
loop_
_atom_site_label
_atom_site_type_symbol
_atom_site_fract_x
_atom_site_fract_y
_atom_site_fract_z
Dy1 Dy 0.6667 0.3333 0.7500
Dy2 Dy 0.0000 0.0000 0.5000
Dy3 Dy 0.3333 0.6667 0.2500
Dy4 Dy 0.0000 0.0000 0.0000
Sm1 Sm 0.3333 0.6667 0.5933
Sm2 Sm 0.3333 0.6667 0.9067
Sm3 Sm 0.6667 0.3333 0.0933
Sm4 Sm 0.6667 0.3333 0.4067
Al1 Al 0.0000 0.0000 0.7500
Al2 Al 0.0000 0.0000 0.2500

***

# BeAlTc, relaxed, DFT PBE
# Magnetic moment = 0.0 μB per formula unit
# Space group = I4mm
# Energy relative to the elements = -168 meV per atom
data_BeAlTc
_chemical_formula_sum 'Be1 Al1 Tc1'
_space_group_name_H-M_alt 'P 1'
_space_group_IT_number 1
_cell_length_a 4.6914
_cell_length_b 4.6914
_cell_length_c 4.6914
_cell_angle_alpha 142.45
_cell_angle_beta 142.45
_cell_angle_gamma 54.15
loop_
_space_group_symop_operation_xyz
'x,y,z'
loop_
_atom_site_label
_atom_site_type_symbol
_atom_site_fract_x
_atom_site_fract_y
_atom_site_fract_z
Tc1 Tc 0.6860 0.6860 0.0000
Be1 Be 0.3117 0.3117 0.0000
Al1 Al 0.0023 0.0023 0.0000

***

# Mg2Zn2SiNi5, relaxed, DFT PBE
# Formation energy without anion corrections = -223 kJ/mol of formula units
# Magnetic moment = 0.0 μB per formula unit
# Space group = P4/mbm
data_Mg2Zn2SiNi5
_chemical_formula_sum 'Mg4 Zn4 Si2 Ni10'
_space_group_name_H-M_alt 'P 1'
_space_group_IT_number 1
_cell_length_a 2.8637
_cell_length_b 9.6690
_cell_length_c 9.6690
_cell_angle_alpha 90.00
_cell_angle_beta 90.00
_cell_angle_gamma 90.00
loop_
_space_group_symop_operation_xyz
'x,y,z'
loop_
_atom_site_label
_atom_site_type_symbol
_atom_site_fract_x
_atom_site_fract_y
_atom_site_fract_z
Ni1 Ni 0.5000 0.9681 0.1888
Ni2 Ni 0.5000 0.5000 0.0000
Ni3 Ni 0.5000 0.4681 0.3112
Ni4 Ni 0.5000 0.3112 0.5319
Ni5 Ni 0.5000 0.0000 0.5000
Ni6 Ni 0.5000 0.6888 0.4681
Ni7 Ni 0.5000 0.1888 0.0319
Ni8 Ni 0.5000 0.8112 0.9681
Ni9 Ni 0.5000 0.5319 0.6888
Ni10 Ni 0.5000 0.0319 0.8112
Mg1 Mg 0.0000 0.1682 0.3318
Mg2 Mg 0.0000 0.8318 0.6682
Mg3 Mg 0.0000 0.6682 0.1682
Mg4 Mg 0.0000 0.3318 0.8318
Si1 Si 0.0000 0.0000 0.0000
Si2 Si 0.0000 0.5000 0.5000
Zn1 Zn 0.0000 0.8605 0.3605
Zn2 Zn 0.0000 0.3605 0.1395
Zn3 Zn 0.0000 0.6395 0.8605
Zn4 Zn 0.0000 0.1395 0.6395

***

# Sb2MoIN, relaxed, DFT PBE
# Formation energy without anion corrections = 678 kJ/mol of formula units
# Magnetic moment = 2.5 μB per formula unit
# Space group = P4/mmm
data_Sb2MoIN
_chemical_formula_sum 'Sb2 Mo1 I1 N1'
_space_group_name_H-M_alt 'P 1'
_space_group_IT_number 1
_cell_length_a 5.1808
_cell_length_b 5.1808
_cell_length_c 5.8641
_cell_angle_alpha 90.00
_cell_angle_beta 90.00
_cell_angle_gamma 90.00
loop_
_space_group_symop_operation_xyz
'x,y,z'
loop_
_atom_site_label
_atom_site_type_symbol
_atom_site_fract_x
_atom_site_fract_y
_atom_site_fract_z
N1 N 0.5000 0.5000 0.5000
Sb1 Sb 0.5000 0.0000 0.0000
Sb2 Sb 0.0000 0.5000 0.0000
I1 I 0.0000 0.0000 0.5000
Mo1 Mo 0.0000 0.0000 0.0000

***

# EuPaS2, relaxed, DFT PBE
# Formation energy without anion corrections = -569 kJ/mol of formula units
# Magnetic moment = 8.6 μB per formula unit
# Space group = P4/mmm
data_EuPaS2
_chemical_formula_sum 'Eu1 Pa1 S2'
_space_group_name_H-M_alt 'P 1'
_space_group_IT_number 1
_cell_length_a 3.4639
_cell_length_b 3.4639
_cell_length_c 7.0165
_cell_angle_alpha 90.00
_cell_angle_beta 90.00
_cell_angle_gamma 90.00
loop_
_space_group_symop_operation_xyz
'x,y,z'
loop_
_atom_site_label
_atom_site_type_symbol
_atom_site_fract_x
_atom_site_fract_y
_atom_site_fract_z
Eu1 Eu 0.5000 0.5000 0.5000
Pa1 Pa 0.5000 0.5000 0.0000
S1 S 0.0000 0.0000 0.7683
S2 S 0.0000 0.0000 0.2317

***

# Ca3Hf3UN8, relaxed, DFT PBE
# Formation energy without anion corrections = -2135 kJ/mol of formula units
# Magnetic moment = 0.0 μB per formula unit
# Space group = R-3m
data_Ca3Hf3UN8
_chemical_formula_sum 'Ca3 Hf3 U1 N8'
_space_group_name_H-M_alt 'P 1'
_space_group_IT_number 1
_cell_length_a 6.6185
_cell_length_b 6.6183
_cell_length_c 6.8462
_cell_angle_alpha 118.91
_cell_angle_beta 90.00
_cell_angle_gamma 120.00
loop_
_space_group_symop_operation_xyz
'x,y,z'
loop_
_atom_site_label
_atom_site_type_symbol
_atom_site_fract_x
_atom_site_fract_y
_atom_site_fract_z
N1 N 0.7381 0.4762 0.7143
N2 N 0.7716 0.0313 0.3029
N3 N 0.7403 0.9687 0.6971
N4 N 0.2597 0.0313 0.3029
N5 N 0.2284 0.9687 0.6971
N6 N 0.7716 0.5433 0.3029
N7 N 0.2619 0.5238 0.2857
N8 N 0.2284 0.4567 0.6971
U1 U 0.0000 0.0000 0.5000
Ca1 Ca 0.5000 0.5000 0.0000
Ca2 Ca 0.0000 0.5000 0.0000
Ca3 Ca 0.0000 0.0000 0.0000
Hf1 Hf 0.5000 0.5000 0.5000
Hf2 Hf 0.5000 0.0000 0.5000
Hf3 Hf 0.0000 0.5000 0.5000

***

# TbMoH, relaxed, DFT PBE
# Magnetic moment = 0.0 μB per formula unit
# Space group = C2/m
# VASP energy = -6.285 eV/atom
data_TbMoH
_chemical_formula_sum 'Tb2 Mo2 H2'
_space_group_name_H-M_alt 'P 1'
_space_group_IT_number 1
_cell_length_a 8.4053
_cell_length_b 8.4020
_cell_length_c 12.1145
_cell_angle_alpha 153.16
_cell_angle_beta 163.35
_cell_angle_gamma 25.13
loop_
_space_group_symop_operation_xyz
'x,y,z'
loop_
_atom_site_label
_atom_site_type_symbol
_atom_site_fract_x
_atom_site_fract_y
_atom_site_fract_z
Mo1 Mo 0.1004 0.9307 0.1684
Mo2 Mo 0.8996 0.0693 0.8316
Tb1 Tb 0.1467 0.6419 0.5048
Tb2 Tb 0.8533 0.3581 0.4952
H1 H 0.9342 0.8124 0.1223
H2 H 0.0658 0.1876 0.8777

***

# DyPa2Pt, relaxed, DFT PBE
# Magnetic moment = 0.0 μB per formula unit
# Space group = R-3m
# Energy relative to the elements = -175 meV per atom
data_DyPa2Pt
_chemical_formula_sum 'Dy1 Pa2 Pt1'
_space_group_name_H-M_alt 'P 1'
_space_group_IT_number 1
_cell_length_a 3.5279
_cell_length_b 3.5279
_cell_length_c 9.8757
_cell_angle_alpha 79.71
_cell_angle_beta 79.71
_cell_angle_gamma 60.00
loop_
_space_group_symop_operation_xyz
'x,y,z'
loop_
_atom_site_label
_atom_site_type_symbol
_atom_site_fract_x
_atom_site_fract_y
_atom_site_fract_z
Pa1 Pa 0.7368 0.7368 0.7897
Pa2 Pa 0.2632 0.2632 0.2103
Pt1 Pt 0.0000 0.0000 0.0000
Dy1 Dy 0.5000 0.5000 0.5000

***

# Ta3Re2W, relaxed, DFT PBE
# Magnetic moment = 0.0 μB per formula unit
# Space group = P4/mmm
# Energy relative to the elements = -328 meV per atom
data_Ta3Re2W
_chemical_formula_sum 'Ta3 Re2 W1'
_space_group_name_H-M_alt 'P 1'
_space_group_IT_number 1
_cell_length_a 3.2119
_cell_length_b 3.2119
_cell_length_c 9.6687
_cell_angle_alpha 90.00
_cell_angle_beta 90.00
_cell_angle_gamma 90.00
loop_
_space_group_symop_operation_xyz
'x,y,z'
loop_
_atom_site_label
_atom_site_type_symbol
_atom_site_fract_x
_atom_site_fract_y
_atom_site_fract_z
W1 W 0.5000 0.5000 0.5000
Re1 Re 0.5000 0.5000 0.8351
Re2 Re 0.5000 0.5000 0.1649
Ta1 Ta 0.0000 0.0000 0.3311
Ta2 Ta 0.0000 0.0000 0.0000
Ta3 Ta 0.0000 0.0000 0.6689

***

# CuAgOs2, relaxed, DFT PBE
# Magnetic moment = 0.0 μB per formula unit
# Space group = Pmmm
# Energy relative to the elements = 745 meV per atom
data_CuAgOs2
_chemical_formula_sum 'Cu1 Ag1 Os2'
_space_group_name_H-M_alt 'P 1'
_space_group_IT_number 1
_cell_length_a 2.6679
_cell_length_b 4.2081
_cell_length_c 5.2996
_cell_angle_alpha 90.00
_cell_angle_beta 90.00
_cell_angle_gamma 90.00
loop_
_space_group_symop_operation_xyz
'x,y,z'
loop_
_atom_site_label
_atom_site_type_symbol
_atom_site_fract_x
_atom_site_fract_y
_atom_site_fract_z
Os1 Os 0.0000 0.0000 0.5241
Os2 Os 0.0000 0.0000 0.9759
Cu1 Cu 0.5000 0.5000 0.7500
Ag1 Ag 0.5000 0.5000 0.2500